InGaPb6 | PBE | relaxed

Unit cell a=4.9217 b=4.9217 c=9.8436 alpha=90.00 beta=90.00 gamma=90.00
With the nearest neighbours (Å) after each atom.
Fractional positions:
1 In 0.0000 0.0000 0.0000  12 Pb 3.48-3.52
2 Ga 0.0000 0.0000 0.5000  12 Pb 3.44-3.48
3 Pb 0.0000 0.5000 0.2560  8 Pb 3.44-3.52, 2 Ga 3.44, 2 In 3.52
4 Pb 0.0000 0.5000 0.7440  8 Pb 3.44-3.52, 2 Ga 3.44, 2 In 3.52
5 Pb 0.5000 0.0000 0.2560  8 Pb 3.44-3.52, 2 Ga 3.44, 2 In 3.52
6 Pb 0.5000 0.0000 0.7440  8 Pb 3.44-3.52, 2 Ga 3.44, 2 In 3.52
7 Pb 0.5000 0.5000 0.0000  4 In 3.48, 8 Pb 3.52
8 Pb 0.5000 0.5000 0.5000  8 Pb 3.44, 4 Ga 3.48

Energy, eV per atom: -3.47
E_form, meV per atom: 31
Space group: P4/mmm (123)



Dy12Ru5Pb | PBE | relaxed

Unit cell a=8.4214 b=8.4214 c=8.4214 alpha=112.72 beta=110.45 gamma=105.33
With the nearest neighbours (Å) after each atom.
Fractional positions:
1 Dy 0.0395 0.2322 0.8073  2 Ru 2.74-3.01
2 Dy 0.1759 0.2698 0.4457  4 Ru 2.95-3.03
3 Dy 0.1759 0.7302 0.9060  4 Ru 2.95-3.03
4 Dy 0.3268 0.0126 0.6858  3 Ru 2.72-2.94
5 Dy 0.3268 0.6410 0.3142  3 Ru 2.72-2.94
6 Dy 0.4249 0.2322 0.1927  2 Ru 2.74-3.01
7 Dy 0.5751 0.7678 0.8073  2 Ru 2.74-3.01
8 Dy 0.6732 0.3590 0.6858  3 Ru 2.72-2.94
9 Dy 0.6732 0.9874 0.3142  3 Ru 2.72-2.94
10 Dy 0.8241 0.2698 0.0940  4 Ru 2.95-3.03
11 Dy 0.8241 0.7302 0.5543  4 Ru 2.95-3.03
12 Dy 0.9605 0.7678 0.1927  2 Ru 2.74-3.01
13 Ru 0.0000 0.0000 0.0000  8 Dy 3.01-3.03, 2 Ru 3.22
14 Ru 0.1222 0.6222 0.5000  1 Ru 2.50, 2 Dy 2.72
15 Ru 0.3357 0.0000 0.3357  8 Dy 2.74-2.95
16 Ru 0.6643 0.0000 0.6643  8 Dy 2.74-2.95
17 Ru 0.8778 0.3778 0.5000  1 Ru 2.50, 2 Dy 2.72
18 Pb 0.5000 0.5000 0.0000  8 Dy 3.30-3.42

Energy, eV per atom: -6.23
E_form, meV per atom: -375
Space group: Immm (71)



NaCuAsSe3 | PBE | relaxed

Unit cell a=8.6205 b=3.8572 c=8.8053 alpha=90.00 beta=104.70 gamma=90.00
With the nearest neighbours (Å) after each atom.
Fractional positions:
1 Na 0.1888 0.2500 0.2372  7 Se 3.09-3.26
2 Na 0.8112 0.7500 0.7628  7 Se 3.09-3.26
3 Cu 0.0722 0.2500 0.5871  4 Se 2.44-2.47, 2 Cu 2.58
4 Cu 0.9278 0.7500 0.4129  4 Se 2.44-2.47, 2 Cu 2.58
5 As 0.3365 0.7500 0.8685  5 Se 2.51-2.76
6 As 0.6635 0.2500 0.1315  5 Se 2.51-2.76
7 Se 0.1244 0.2500 0.8760  1 Cu 2.47, 2 As 2.67
8 Se 0.2180 0.7500 0.5221  3 Cu 2.44-2.45
9 Se 0.4448 0.7500 0.1614  3 As 2.51-2.76
10 Se 0.5552 0.2500 0.8386  3 As 2.51-2.76
11 Se 0.7820 0.2500 0.4779  3 Cu 2.44-2.45
12 Se 0.8756 0.7500 0.1240  1 Cu 2.47, 2 As 2.67

Energy, eV per atom: -3.78
Space group: P2_1/m (11)



CsH3S3 | PBE | relaxed

Unit cell a=7.5378 b=7.5378 c=7.5378 alpha=68.68 beta=68.68 gamma=68.68
With the nearest neighbours (Å) after each atom.
Fractional positions:
1 Cs 0.1326 0.1326 0.1326  6 S 3.58-3.68, 9 H 3.68-3.94
2 Cs 0.8674 0.8674 0.8674  6 S 3.58-3.68, 9 H 3.68-3.94
3 H 0.1401 0.5774 0.2452  1 S 1.37
4 H 0.2452 0.1401 0.5774  1 S 1.37
5 H 0.4226 0.7548 0.8599  1 S 1.37
6 H 0.5774 0.2452 0.1401  1 S 1.37
7 H 0.7548 0.8599 0.4226  1 S 1.37
8 H 0.8599 0.4226 0.7548  1 S 1.37
9 S 0.0404 0.4597 0.6569  1 H 1.37
10 S 0.3431 0.9596 0.5403  1 H 1.37
11 S 0.4597 0.6569 0.0404  1 H 1.37
12 S 0.5403 0.3431 0.9596  1 H 1.37
13 S 0.6569 0.0404 0.4597  1 H 1.37
14 S 0.9596 0.5403 0.3431  1 H 1.37

Energy, eV per atom: -3.54
Space group: R-3 (148)